VTeN2 | GGA-PBE | relaxed

abc: 3.350 3.350 18.551
angles: 90.00 90.00 120.00
Fractional positions:
V 0.000 0.000 0.000
V 0.333 0.667 0.667
V 0.667 0.333 0.333
Te 0.000 0.000 0.500
Te 0.333 0.667 0.167
Te 0.667 0.333 0.833
N 0.000 0.000 0.102
N 0.000 0.000 0.898
N 0.333 0.667 0.564
N 0.333 0.667 0.769
N 0.667 0.333 0.231
N 0.667 0.333 0.436

Values from the calculation:
Space group: No. 166

VTeN2 | GGA-PBE | relaxed

abc: 5.338 5.338 8.697
angles: 90.00 90.00 90.00
Fractional positions:
V 0.000 0.000 0.000
V 0.000 0.500 0.250
V 0.500 0.000 0.750
V 0.500 0.500 0.500
Te 0.000 0.000 0.500
Te 0.000 0.500 0.750
Te 0.500 0.000 0.250
Te 0.500 0.500 0.000
N 0.114 0.250 0.125
N 0.250 0.614 0.375
N 0.250 0.886 0.875
N 0.386 0.250 0.625
N 0.614 0.750 0.625
N 0.750 0.114 0.875
N 0.750 0.386 0.375
N 0.886 0.750 0.125

Values from the calculation:
Space group: No. 122

YVTe2N | GGA-PBE | relaxed

abc: 5.459 5.459 3.728
angles: 90.00 90.00 90.00
Fractional positions:
Y 0.000 0.000 0.000
V 0.500 0.500 0.500
Te 0.000 0.500 0.500
Te 0.500 0.000 0.500
N 0.500 0.500 0.000

Values from the calculation:
Excess energy over the best structure of this formula in the dataset: 0.000 eV per formula unit
Space group: No. 123

YVTe2N | GGA-PBE | relaxed

abc: 5.955 5.955 4.064
angles: 90.00 90.00 90.00
Fractional positions:
Y 0.000 0.000 0.000
V 0.500 0.500 0.500
Te 0.000 0.500 0.000
Te 0.500 0.000 0.000
N 0.000 0.000 0.500

Values from the calculation:
Excess energy over the best structure of this formula in the dataset: 5.198 eV per formula unit
Space group: No. 123

| no. | formation energy from raw total energies (eV/atom) |
| --- | --- |
| 1 | 0.837 |
| 2 | 0.132 |
| 3 | -0.498 |
| 4 | 0.541 |